No. 1
# Zn2FeSb2 (PBE, optimized geometry)
# - Crystal system: trigonal
# - Calculated total energy: -3.568 eV/atom
data_Zn2FeSb2
_chemical_formula_sum 'Zn2 Fe1 Sb2'
_symmetry_space_group_name_H-M 'P -3 m 1'
_symmetry_Int_Tables_number 164
_symmetry_space_group_name_Hall '-P 3 2"'
_cell_length_a 4.0873
_cell_length_b 4.0873
_cell_length_c 7.2095
_cell_angle_alpha 90.00
_cell_angle_beta 90.00
_cell_angle_gamma 120.00
loop_
_atom_site_label
_atom_site_type_symbol
_atom_site_fract_x
_atom_site_fract_y
_atom_site_fract_z
Zn1 Zn 0.3333 0.6667 0.0936
Fe1 Fe 0.0000 0.0000 0.5000
Sb1 Sb 0.3333 0.6667 0.6854



No. 2
# Zr3Fe4Sb4 (PBE, optimized geometry)
# - Crystal system: tetragonal
# - Calculated total energy: -7.064 eV/atom
data_Zr3Fe4Sb4
_chemical_formula_sum 'Zr6 Fe8 Sb8'
_symmetry_space_group_name_H-M 'I -4 2 m'
_symmetry_Int_Tables_number 121
_symmetry_space_group_name_Hall 'I -4 2'
_cell_length_a 6.139
_cell_length_b 6.139
_cell_length_c 12.275
_cell_angle_alpha 90.00
_cell_angle_beta 90.00
_cell_angle_gamma 90.00
loop_
_atom_site_label
_atom_site_type_symbol
_atom_site_fract_x
_atom_site_fract_y
_atom_site_fract_z
Zr1 Zr 0.000 0.000 0.000
Zr2 Zr 0.000 0.500 0.250
Fe1 Fe 0.237 0.237 0.619
Sb1 Sb 0.000 0.000 0.247
Sb2 Sb 0.000 0.500 0.000



No. 3
# ZrFeSb2 (PBE, optimized geometry)
# - Crystal system: cubic
# - Calculated total energy: -6.070 eV/atom
data_ZrFeSb2
_chemical_formula_sum 'Zr4 Fe4 Sb8'
_symmetry_space_group_name_H-M 'F -4 3 m'
_symmetry_Int_Tables_number 216
_symmetry_space_group_name_Hall 'F -4 2 3'
_cell_length_a 6.965
_cell_length_b 6.965
_cell_length_c 6.965
_cell_angle_alpha 90.00
_cell_angle_beta 90.00
_cell_angle_gamma 90.00
loop_
_atom_site_label
_atom_site_type_symbol
_atom_site_fract_x
_atom_site_fract_y
_atom_site_fract_z
Zr1 Zr 0.000 0.000 0.000
Fe1 Fe 0.250 0.250 0.750
Sb1 Sb 0.000 0.000 0.500
Sb2 Sb 0.250 0.250 0.250



No. 4
# Sc3Fe (PBE, optimized geometry)
# - Crystal system: cubic
# - E_form: 0.139 eV per atom
data_Sc3Fe
_chemical_formula_sum 'Sc3 Fe1'
_symmetry_space_group_name_H-M 'P m -3 m'
_symmetry_Int_Tables_number 221
_symmetry_space_group_name_Hall '-P 4 2 3'
_cell_length_a 4.307
_cell_length_b 4.307
_cell_length_c 4.307
_cell_angle_alpha 90.00
_cell_angle_beta 90.00
_cell_angle_gamma 90.00
loop_
_atom_site_label
_atom_site_type_symbol
_atom_site_fract_x
_atom_site_fract_y
_atom_site_fract_z
Sc1 Sc 0.000 0.000 0.500
Fe1 Fe 0.500 0.500 0.500



Summary of spin magnetization in μB/f.u.
2.52, 7.46, 1.99, 0.70
(order as listed above)